Record 1
Below is an optimized crystal structure of NaPrZnS3, with properties calculated at the GGA-PBE level.

a = 11.3741 Å, b = 4.0653 Å, c = 11.6338 Å
α = 90.00°, β = 90.00°, γ = 90.00°
Positions (direct):
Na (0.1505, 0.2500, 0.0099)
Na (0.3495, 0.7500, 0.5099)
Na (0.6505, 0.2500, 0.4901)
Na (0.8495, 0.7500, 0.9901)
Pr (0.0247, 0.2500, 0.6766)
Pr (0.4753, 0.7500, 0.1766)
Pr (0.5247, 0.2500, 0.8234)
Pr (0.9753, 0.7500, 0.3234)
Zn (0.2468, 0.2500, 0.2935)
Zn (0.2532, 0.7500, 0.7935)
Zn (0.7468, 0.2500, 0.2065)
Zn (0.7532, 0.7500, 0.7065)
S (0.0584, 0.7500, 0.8494)
S (0.1077, 0.2500, 0.4380)
S (0.2142, 0.7500, 0.1868)
S (0.2858, 0.2500, 0.6868)
S (0.3923, 0.7500, 0.9380)
S (0.4416, 0.2500, 0.3494)
S (0.5584, 0.7500, 0.6506)
S (0.6077, 0.2500, 0.0620)
S (0.7142, 0.7500, 0.3132)
S (0.7858, 0.2500, 0.8132)
S (0.8923, 0.7500, 0.5620)
S (0.9416, 0.2500, 0.1506)

Output
For the total DFT energy (no corrections), the calculation gives -4.699 eV/atom. The space group is Pnma (62).

Record 2
Below is an optimized crystal structure of NaPrZnS3, with properties calculated at the GGA-PBE level.

a = 13.4050 Å, b = 4.0241 Å, c = 11.1904 Å
α = 90.00°, β = 90.00°, γ = 90.00°
Positions (direct):
Na (0.2366, 0.2500, 0.0755)
Na (0.2634, 0.7500, 0.5755)
Na (0.7366, 0.2500, 0.4245)
Na (0.7634, 0.7500, 0.9245)
Pr (0.0217, 0.2500, 0.3413)
Pr (0.4783, 0.7500, 0.8413)
Pr (0.5217, 0.2500, 0.1587)
Pr (0.9783, 0.7500, 0.6587)
Zn (0.0121, 0.7500, 0.0934)
Zn (0.4879, 0.2500, 0.5934)
Zn (0.5121, 0.7500, 0.4066)
Zn (0.9879, 0.2500, 0.9066)
S (0.0887, 0.7500, 0.8967)
S (0.1092, 0.2500, 0.5695)
S (0.1401, 0.7500, 0.2327)
S (0.3599, 0.2500, 0.7327)
S (0.3908, 0.7500, 0.0695)
S (0.4113, 0.2500, 0.3967)
S (0.5887, 0.7500, 0.6033)
S (0.6092, 0.2500, 0.9305)
S (0.6401, 0.7500, 0.2673)
S (0.8599, 0.2500, 0.7673)
S (0.8908, 0.7500, 0.4305)
S (0.9113, 0.2500, 0.1033)

Output
For the total DFT energy (no corrections), the calculation gives -4.654 eV/atom. The space group is Pnma (62).

Record 3
Below is an optimized crystal structure of NaPrZnS3, with properties calculated at the GGA-PBE level.

a = 9.4798 Å, b = 9.4798 Å, c = 7.8258 Å
α = 105.43°, β = 105.43°, γ = 24.54°
Positions (direct):
Na (0.1168, 0.1168, 0.0805)
Na (0.8832, 0.8832, 0.9195)
Pr (0.1752, 0.1752, 0.6028)
Pr (0.8248, 0.8248, 0.3972)
Zn (0.4688, 0.4688, 0.2677)
Zn (0.5312, 0.5312, 0.7323)
S (0.0000, 0.0000, 0.5000)
S (0.3294, 0.3294, 0.6501)
S (0.3393, 0.3393, 0.1585)
S (0.5000, 0.5000, 0.0000)
S (0.6607, 0.6607, 0.8415)
S (0.6706, 0.6706, 0.3499)

Output
For the total DFT energy (no corrections), the calculation gives -4.560 eV/atom. The space group is C2/m (12).

Record 4
Below is an optimized crystal structure of NaPrSb, with properties calculated at the GGA-PBE level.

a = 8.0253 Å, b = 8.0253 Å, c = 4.6598 Å
α = 90.00°, β = 90.00°, γ = 120.00°
Positions (direct):
Na (0.0000, 0.7549, 0.0000)
Na (0.2451, 0.2451, 0.0000)
Na (0.7549, 0.0000, 0.0000)
Pr (0.0000, 0.4102, 0.5000)
Pr (0.4102, 0.0000, 0.5000)
Pr (0.5898, 0.5898, 0.5000)
Sb (0.0000, 0.0000, 0.5000)
Sb (0.3333, 0.6667, 0.0000)
Sb (0.6667, 0.3333, 0.0000)

Output
For the total DFT energy (no corrections), the calculation gives -4.057 eV/atom. The space group is P-62m (189).

Record 5
Below is an optimized crystal structure of NaPrSbSe3, with properties calculated at the GGA-PBE level.

a = 7.7082 Å, b = 7.7082 Å, c = 10.6403 Å
α = 90.00°, β = 90.00°, γ = 146.93°
Positions (direct):
Na (0.2438, 0.7562, 0.7500)
Na (0.7562, 0.2438, 0.2500)
Pr (0.0000, 0.0000, 0.0000)
Pr (0.0000, 0.0000, 0.5000)
Sb (0.4696, 0.5304, 0.2500)
Sb (0.5304, 0.4696, 0.7500)
Se (0.1205, 0.8795, 0.2500)
Se (0.3596, 0.6404, 0.0485)
Se (0.3596, 0.6404, 0.4515)
Se (0.6404, 0.3596, 0.5485)
Se (0.6404, 0.3596, 0.9515)
Se (0.8795, 0.1205, 0.7500)

Output
For the total DFT energy (no corrections), the calculation gives -4.314 eV/atom. The space group is Cmcm (63).

Record 6
Below is an optimized crystal structure of NaPrSc, with properties calculated at the GGA-PBE level.

a = 5.2287 Å, b = 5.2287 Å, c = 5.2287 Å
α = 60.00°, β = 60.00°, γ = 60.00°
Positions (direct):
Na (0.0000, 0.0000, 0.0000)
Pr (0.7500, 0.7500, 0.7500)
Sc (0.2500, 0.2500, 0.2500)

Output
For the total DFT energy (no corrections), the calculation gives -3.328 eV/atom. The space group is F-43m (216).

Record 7
Below is an optimized crystal structure of NaPrSc, with properties calculated at the GGA-PBE level.

a = 5.2908 Å, b = 5.2908 Å, c = 5.2908 Å
α = 60.00°, β = 60.00°, γ = 60.00°
Positions (direct):
Na (0.0000, 0.0000, 0.0000)
Pr (0.2500, 0.2500, 0.2500)
Sc (0.5000, 0.5000, 0.5000)

Output
For the total DFT energy (no corrections), the calculation gives -3.125 eV/atom. The space group is F-43m (216).

Record 8
Below is an optimized crystal structure of NaSrPrSe3, with properties calculated at the GGA-PBE level.

a = 11.2890 Å, b = 4.3835 Å, c = 14.0057 Å
α = 90.00°, β = 90.00°, γ = 90.00°
Positions (direct):
Na (0.2285, 0.2500, 0.2362)
Na (0.2715, 0.7500, 0.7362)
Na (0.7285, 0.2500, 0.2638)
Na (0.7715, 0.7500, 0.7638)
Sr (0.2085, 0.7500, 0.0025)
Sr (0.2915, 0.2500, 0.5025)
Sr (0.7085, 0.7500, 0.4975)
Sr (0.7915, 0.2500, 0.9975)
Pr (0.0207, 0.2500, 0.7343)
Pr (0.4793, 0.7500, 0.2343)
Pr (0.5207, 0.2500, 0.7657)
Pr (0.9793, 0.7500, 0.2657)
Se (0.0367, 0.2500, 0.1182)
Se (0.0938, 0.7500, 0.6054)
Se (0.2366, 0.7500, 0.3472)
Se (0.2634, 0.2500, 0.8472)
Se (0.4062, 0.2500, 0.1054)
Se (0.4633, 0.7500, 0.6182)
Se (0.5367, 0.2500, 0.3818)
Se (0.5938, 0.7500, 0.8946)
Se (0.7366, 0.7500, 0.1528)
Se (0.7634, 0.2500, 0.6528)
Se (0.9062, 0.2500, 0.3946)
Se (0.9633, 0.7500, 0.8818)

Output
For the total DFT energy (no corrections), the calculation gives -4.673 eV/atom. The space group is Pnma (62).

Record 9
Below is an optimized crystal structure of NaSrPrSe3, with properties calculated at the GGA-PBE level.

a = 7.3124 Å, b = 7.3124 Å, c = 11.1450 Å
α = 90.00°, β = 90.00°, γ = 145.14°
Positions (direct):
Na (0.0209, 0.9791, 0.7500)
Na (0.9791, 0.0209, 0.2500)
Sr (0.2511, 0.7489, 0.2500)
Sr (0.7489, 0.2511, 0.7500)
Pr (0.5000, 0.5000, 0.0000)
Pr (0.5000, 0.5000, 0.5000)
Se (0.1414, 0.8586, 0.5599)
Se (0.1414, 0.8586, 0.9401)
Se (0.4072, 0.5928, 0.7500)
Se (0.5928, 0.4072, 0.2500)
Se (0.8586, 0.1414, 0.0599)
Se (0.8586, 0.1414, 0.4401)

Output
For the total DFT energy (no corrections), the calculation gives -4.663 eV/atom. The space group is Cmcm (63).

Record 10
Below is an optimized crystal structure of NaPrSi, with properties calculated at the GGA-PBE level.

a = 4.9703 Å, b = 4.9703 Å, c = 4.9703 Å
α = 60.00°, β = 60.00°, γ = 60.00°
Positions (direct):
Na (0.0000, 0.0000, 0.0000)
Pr (0.5000, 0.5000, 0.5000)
Si (0.2500, 0.2500, 0.2500)

Output
For the total DFT energy (no corrections), the calculation gives -4.067 eV/atom. The space group is F-43m (216).

Record 11
Below is an optimized crystal structure of NaPrSm, with properties calculated at the GGA-PBE level.

a = 5.4346 Å, b = 5.4346 Å, c = 5.4346 Å
α = 60.00°, β = 60.00°, γ = 60.00°
Positions (direct):
Na (0.0000, 0.0000, 0.0000)
Pr (0.7500, 0.7500, 0.7500)
Sm (0.2500, 0.2500, 0.2500)

Output
For the total DFT energy (no corrections), the calculation gives -2.871 eV/atom. The space group is F-43m (216).

Record 12
Below is an optimized crystal structure of NaSrPrTe3, with properties calculated at the GGA-PBE level.

a = 7.8555 Å, b = 7.8555 Å, c = 11.8178 Å
α = 90.00°, β = 90.00°, γ = 145.75°
Positions (direct):
Na (0.0199, 0.9801, 0.7500)
Na (0.9801, 0.0199, 0.2500)
Sr (0.2567, 0.7433, 0.2500)
Sr (0.7433, 0.2567, 0.7500)
Pr (0.5000, 0.5000, 0.0000)
Pr (0.5000, 0.5000, 0.5000)
Te (0.1438, 0.8562, 0.5583)
Te (0.1438, 0.8562, 0.9417)
Te (0.4029, 0.5971, 0.7500)
Te (0.5971, 0.4029, 0.2500)
Te (0.8562, 0.1438, 0.0583)
Te (0.8562, 0.1438, 0.4417)

Output
For the total DFT energy (no corrections), the calculation gives -4.189 eV/atom. The space group is Cmcm (63).

So what do the calculations give for spin magnetization? Going down the list: 0.0003; 0.0002; 0.0004; 0.2231; 0.0012; 0.6020; 0.1645; 0.0008; 0.0003; 0.0006; 0.7991; 0.0007 μB/atom.